No. 1
HfGaTe2Cl: relaxed, PBE-GGA.

Cell: 5.298 5.298 4.858 Å, 90.00 90.00 90.00°
Positions (direct):
Hf: 0.000 0.000 0.000
Ga: 0.500 0.500 0.000
Te: 0.000 0.500 0.500
Te: 0.500 0.000 0.500
Cl: 0.500 0.500 0.500

Output
- total magnetic moment (μB per atom) = 0.00
- space group = P4/mmm
- energy relative to the elements, uncorrected (eV per atom) = 0.691
- N(E_F) (states/eV per atom) = 0.65

***

No. 2
HfTl2GaCl6: relaxed, PBE-GGA.

Cell: 7.250 10.830 8.350 Å, 90.00 90.00 90.00°
Positions (direct):
Hf: 0.250 0.250 0.208
Hf: 0.750 0.750 0.792
Tl: 0.250 0.543 0.814
Tl: 0.250 0.957 0.814
Tl: 0.750 0.043 0.186
Tl: 0.750 0.457 0.186
Ga: 0.250 0.750 0.308
Ga: 0.750 0.250 0.692
Cl: 0.002 0.250 0.413
Cl: 0.007 0.250 0.994
Cl: 0.250 0.020 0.200
Cl: 0.250 0.480 0.200
Cl: 0.493 0.250 0.994
Cl: 0.498 0.250 0.413
Cl: 0.502 0.750 0.587
Cl: 0.507 0.750 0.006
Cl: 0.750 0.520 0.800
Cl: 0.750 0.980 0.800
Cl: 0.993 0.750 0.006
Cl: 0.998 0.750 0.587

Output
- total magnetic moment (μB per atom) = 0.08
- space group = Pmmn
- energy relative to the elements, uncorrected (eV per atom) = -1.180
- N(E_F) (states/eV per atom) = 0.52

***

No. 3
HfVGaCl2: relaxed, PBE-GGA.

Cell: 4.717 4.717 5.692 Å, 90.00 90.00 90.00°
Positions (direct):
Hf: 0.000 0.000 0.000
V: 0.500 0.500 0.000
Ga: 0.000 0.000 0.500
Cl: 0.000 0.500 0.500
Cl: 0.500 0.000 0.500

Output
- total magnetic moment (μB per atom) = 0.05
- space group = P4/mmm
- energy relative to the elements, uncorrected (eV per atom) = 0.990
- N(E_F) (states/eV per atom) = 2.68

***

No. 4
GaHgCl: relaxed, PBE-GGA.

Cell: 3.658 4.887 5.557 Å, 89.60 70.86 89.90°
Positions (direct):
Ga: 0.000 0.000 0.000
Hg: 0.745 0.151 0.529
Cl: 0.465 0.631 0.074

Output
- total magnetic moment (μB per atom) = 0.00
- energy above the lowest structure with this stoichiometry (eV per atom) = 0.0315
- space group = P1
- energy relative to the elements, uncorrected (eV per atom) = -0.423

***

No. 5
GaHgCl: relaxed, PBE-GGA.

Cell: 5.492 5.788 6.287 Å, 104.20 107.05 91.02°
Positions (direct):
Ga: 0.075 0.281 0.241
Ga: 0.925 0.719 0.759
Hg: 0.406 0.671 0.713
Hg: 0.594 0.329 0.287
Cl: 0.059 0.817 0.194
Cl: 0.941 0.183 0.806

Output
- total magnetic moment (μB per atom) = 0.00
- energy above the lowest structure with this stoichiometry (eV per atom) = 0.0000
- space group = P-1
- energy relative to the elements, uncorrected (eV per atom) = -0.455

***

No. 6
GaHgCl: relaxed, PBE-GGA.

Cell: 4.166 4.166 6.584 Å, 107.78 107.78 61.06°
Positions (direct):
Ga: 0.000 0.000 0.000
Hg: 0.235 0.235 0.677
Cl: 0.737 0.737 0.218

Output
- total magnetic moment (μB per atom) = 0.00
- energy above the lowest structure with this stoichiometry (eV per atom) = 0.0251
- space group = Cm
- energy relative to the elements, uncorrected (eV per atom) = -0.430
- N(E_F) (states/eV per atom) = 0.00